(1)
VASP calculation (PBE-GGA) on LiGa3Au6 after structural relaxation.

abc: 9.2643 4.2925 10.1739
angles: 90.00 114.42 90.00
Last column: nearest neighbours and their distance in Å.
Space group P2_1/m (No. 11)
Inequivalent atoms, fractional coordinates:
Li (0.0256, 0.2500, 0.1806) [2 per cell]  7 Au 2.67-2.76, 3 Ga 2.92-2.96
Ga (0.1482, 0.2500, 0.4963) [2 per cell]  6 Au 2.58-2.73, 1 Ga 2.88
Ga (0.3204, 0.7500, 0.9627) [2 per cell]  7 Au 2.59-2.79
Ga (0.3703, 0.2500, 0.3647) [2 per cell]  6 Au 2.64-2.82, 1 Ga 2.88
Au (0.0206, 0.7500, 0.3430) [2 per cell]  3 Ga 2.63-2.69, 2 Li 2.72, 2 Au 2.85-2.88
Au (0.1317, 0.2500, 0.9643) [2 per cell]  3 Li 2.67-2.76, 2 Ga 2.77, 5 Au 2.82-2.94
Au (0.2067, 0.7500, 0.6776) [2 per cell]  3 Ga 2.64-2.73, 3 Au 2.87-2.95
Au (0.2120, 0.7500, 0.1811) [2 per cell]  2 Li 2.75, 3 Ga 2.79-2.82, 5 Au 2.88-2.94
Au (0.4515, 0.2500, 0.6456) [2 per cell]  4 Ga 2.58-2.74, 1 Au 2.88
Au (0.4619, 0.2500, 0.1347) [2 per cell]  4 Ga 2.59-2.80, 2 Au 2.82-2.87

total magnetic moment = 0.00 μB/cell
energy relative to the elements = -0.23 eV per atom
energy above the most stable polymorph in this dataset = 0.000 eV/atom

=====

(2)
VASP calculation (PBE-GGA) on LiGa2Au after structural relaxation.

abc: 7.7357 7.7357 5.2900
angles: 90.00 90.00 90.00
Last column: nearest neighbours and their distance in Å.
Space group I-42d (No. 122)
Inequivalent atoms, fractional coordinates:
Li (0.0000, 0.0000, 0.0000) [4 per cell]  2 Au 2.64
Ga (0.2103, 0.2500, 0.6250) [8 per cell]  2 Au 2.61, 2 Ga 2.72
Au (0.0000, 0.0000, 0.5000) [4 per cell]  4 Ga 2.61, 2 Li 2.64

total magnetic moment = 0.00 μB/cell
energy relative to the elements = -0.18 eV per atom

=====

(3)
VASP calculation (PBE-GGA) on Li2GaAu8 after structural relaxation.

abc: 15.1642 4.5956 6.0854
angles: 90.00 113.57 90.00
Last column: nearest neighbours and their distance in Å.
Space group C2/m (No. 12)
Inequivalent atoms, fractional coordinates:
Li (0.1901, 0.0000, 0.1897) [4 per cell]  12 Au 2.77-3.05
Ga (0.0000, 0.5000, 0.5000) [2 per cell]  8 Au 2.55-2.80
Au (0.0004, 0.0000, 0.2384) [4 per cell]  2 Ga 2.80, 7 Au 2.90-3.02, 2 Li 3.01-3.02
Au (0.1387, 0.5000, 0.9117) [4 per cell]  1 Ga 2.55, 2 Li 2.77, 2 Au 2.77-2.82
Au (0.1398, 0.5000, 0.3687) [4 per cell]  1 Ga 2.55, 2 Au 2.77-2.82, 2 Li 2.78
Au (0.1842, 0.0000, 0.6855) [4 per cell]  8 Au 2.82-3.02, 4 Li 2.89-3.05

total magnetic moment = 0.00 μB/cell
energy relative to the elements = -0.26 eV per atom

=====

The evaluated DOS at the Fermi energy for the records listed, in turn: 2.631; 1.632; 3.854 states/eV/f.u..